1.
PBE LiPrMg2Pd4, optimized geometry; V = 145.7 Å³ per cell; DOS(E_F) = 3.91 states/eV per cell; ΔE_f = -0.648 eV per atom
1.0
2.2488 1.2983 8.3154
-2.2488 1.2983 8.3154
0.0000 -2.5967 8.3154
Li Pr Mg Pd
1 1 2 4
Direct
0.0000 0.0000 0.0000 Li
0.5000 0.5000 0.5000 Pr
0.2649 0.2649 0.2649 Mg
0.7351 0.7351 0.7351 Mg
0.1017 0.1017 0.1017 Pd
0.3732 0.3732 0.3732 Pd
0.6268 0.6268 0.6268 Pd
0.8983 0.8983 0.8983 Pd

---

2.
PBE LiPuMgPd, optimized geometry; V = 324.3 Å³ per cell; DOS(E_F) = 31.13 states/eV per cell; ΔE_f = -0.181 eV per atom
1.0
6.8702 0.0000 0.0000
0.0000 6.8702 0.0000
0.0000 0.0000 6.8702
Li Pu Mg Pd
4 4 4 4
Direct
0.0000 0.0000 0.0000 Li
0.0000 0.5000 0.5000 Li
0.5000 0.0000 0.5000 Li
0.5000 0.5000 0.0000 Li
0.2500 0.2500 0.7500 Pu
0.2500 0.7500 0.2500 Pu
0.7500 0.2500 0.2500 Pu
0.7500 0.7500 0.7500 Pu
0.2500 0.2500 0.2500 Mg
0.2500 0.7500 0.7500 Mg
0.7500 0.2500 0.7500 Mg
0.7500 0.7500 0.2500 Mg
0.0000 0.0000 0.5000 Pd
0.0000 0.5000 0.0000 Pd
0.5000 0.0000 0.0000 Pd
0.5000 0.5000 0.5000 Pd

---

3.
PBE RbLiMg2Pd, optimized geometry; V = 143.3 Å³ per cell; DOS(E_F) = 2.24 states/eV per cell; ΔE_f = -0.123 eV per atom
1.0
5.2137 0.0000 0.0000
0.0000 5.2137 0.0000
0.0000 0.0000 5.2735
Rb Li Mg Pd
1 1 2 1
Direct
0.0000 0.0000 0.0000 Rb
0.5000 0.5000 0.0000 Li
0.0000 0.5000 0.5000 Mg
0.5000 0.0000 0.5000 Mg
0.5000 0.5000 0.5000 Pd

---

4.
PBE LiMgRe2Pd, optimized geometry; V = 111.7 Å³ per cell; DOS(E_F) = 5.35 states/eV per cell; ΔE_f = 1.650 eV per atom
1.0
4.8040 0.0000 0.0000
0.0000 4.8040 0.0000
0.0000 0.0000 4.8406
Li Mg Re Pd
1 1 2 1
Direct
0.0000 0.0000 0.0000 Li
0.5000 0.5000 0.0000 Mg
0.0000 0.5000 0.5000 Re
0.5000 0.0000 0.5000 Re
0.5000 0.5000 0.5000 Pd

---

5.
PBE LiMg4Pd2Rh, optimized geometry; V = 129.9 Å³ per cell; DOS(E_F) = 2.80 states/eV per cell; ΔE_f = -0.555 eV per atom
1.0
2.2543 1.3015 7.3777
-2.2543 1.3015 7.3777
0.0000 -2.6031 7.3777
Li Mg Pd Rh
1 4 2 1
Direct
0.0000 0.0000 0.0000 Li
0.1289 0.1289 0.1289 Mg
0.3784 0.3784 0.3784 Mg
0.6216 0.6216 0.6216 Mg
0.8711 0.8711 0.8711 Mg
0.2519 0.2519 0.2519 Pd
0.7481 0.7481 0.7481 Pd
0.5000 0.5000 0.5000 Rh

---

6.
PBE LiMgSbPd, optimized geometry; V = 281.7 Å³ per cell; energy relative to the elements, uncorrected = -0.569 eV/atom; DOS(E_F) = 5.08 states/eV per cell
1.0
6.5554 0.0000 0.0000
0.0000 6.5554 0.0000
0.0000 0.0000 6.5554
Li Mg Sb Pd
4 4 4 4
Direct
0.0000 0.0000 0.0000 Li
0.0000 0.5000 0.5000 Li
0.5000 0.0000 0.5000 Li
0.5000 0.5000 0.0000 Li
0.2500 0.2500 0.7500 Mg
0.2500 0.7500 0.2500 Mg
0.7500 0.2500 0.2500 Mg
0.7500 0.7500 0.7500 Mg
0.2500 0.2500 0.2500 Sb
0.2500 0.7500 0.7500 Sb
0.7500 0.2500 0.7500 Sb
0.7500 0.7500 0.2500 Sb
0.0000 0.0000 0.5000 Pd
0.0000 0.5000 0.0000 Pd
0.5000 0.0000 0.0000 Pd
0.5000 0.5000 0.5000 Pd

---

7.
PBE LiMg2SbPd4, optimized geometry; V = 130.2 Å³ per cell; energy relative to the elements, uncorrected = -0.615 eV/atom; DOS(E_F) = 3.20 states/eV per cell
1.0
2.2620 1.3060 7.3470
-2.2620 1.3060 7.3470
0.0000 -2.6120 7.3470
Li Mg Sb Pd
1 2 1 4
Direct
0.0000 0.0000 0.0000 Li
0.2547 0.2547 0.2547 Mg
0.7453 0.7453 0.7453 Mg
0.5000 0.5000 0.5000 Sb
0.1238 0.1238 0.1238 Pd
0.3757 0.3757 0.3757 Pd
0.6243 0.6243 0.6243 Pd
0.8762 0.8762 0.8762 Pd

---

8.
PBE LiMgSbPd2, optimized geometry; V = 118.2 Å³ per cell; energy relative to the elements, uncorrected = 0.035 eV/atom; DOS(E_F) = 1.38 states/eV per cell
1.0
4.9877 0.0000 0.0000
0.0000 4.9877 0.0000
0.0000 0.0000 4.7497
Li Mg Sb Pd
1 1 1 2
Direct
0.0000 0.0000 0.0000 Li
0.5000 0.5000 0.0000 Mg
0.0000 0.0000 0.5000 Sb
0.0000 0.5000 0.5000 Pd
0.5000 0.0000 0.5000 Pd

---

Number 1: energy -4.480 eV per atom. Number 2: energy -5.939 eV per atom. Number 3: energy -2.376 eV per atom. Number 4: energy -5.069 eV per atom. Number 5: energy -3.808 eV per atom. Number 6: energy -3.775 eV per atom. Number 7: energy -4.364 eV per atom. Number 8: energy -3.569 eV per atom.